Run i
Material: Tb2GdCu
Method: DFT, PBE
State: relaxed

Cell: 3.592 3.592 10.198 Å, 79.86 79.86 60.00°
Site moments in Bohr magnetons follow the coordinates.
Fractional positions:
Tb1 0.265 0.265 0.204  -0.03
Cu1 0.000 0.000 0.000  -0.01
Gd1 0.500 0.500 0.500  7.19
Tb2 0.735 0.735 0.796  -0.03

## Properties
As for the space group: R-3m, No. 166.


Run ii
Material: Tb2GdCu
Method: DFT, PBE
State: relaxed

Cell: 3.514 3.514 8.700 Å, 90.00 90.00 90.00°
Site moments in Bohr magnetons follow the coordinates.
Fractional positions:
Cu1 0.500 0.500 0.000  0.01
Tb1 0.000 0.000 0.804  0.02
Gd1 0.500 0.500 0.500  7.20
Tb2 0.000 0.000 0.196  0.02

## Properties
As for the space group: P4/mmm, No. 123.


Stability order, top to bottom: run ii, run i


Run i
Material: Gd2CuTe
Method: DFT, PBE
State: relaxed

Cell: 4.144 4.144 7.749 Å, 74.49 74.49 60.00°
Site moments in Bohr magnetons follow the coordinates.
Fractional positions:
Cu1 0.000 0.000 0.000  0.04
Gd1 0.741 0.741 0.776  7.08
Te1 0.500 0.500 0.500  -0.03
Gd2 0.259 0.259 0.224  7.08

## Properties
As for the space group: R-3m, No. 166.


Run ii
Material: Gd2CuTe
Method: DFT, PBE
State: relaxed

Cell: 3.798 3.798 6.878 Å, 90.00 90.00 90.00°
Site moments in Bohr magnetons follow the coordinates.
Fractional positions:
Te1 0.500 0.500 0.500  -0.04
Gd1 0.000 0.000 0.763  7.28
Cu1 0.500 0.500 0.000  0.05
Gd2 0.000 0.000 0.237  7.28

## Properties
As for the space group: P4/mmm, No. 123.


Stability order, top to bottom: run i, run ii


Run i
Material: GdThCu2
Method: DFT, PBE
State: relaxed

Cell: 5.015 5.015 5.015 Å, 60.00 60.00 60.00°
Site moments in Bohr magnetons follow the coordinates.
Fractional positions:
Gd1 0.500 0.500 0.500  7.15
Th1 0.000 0.000 0.000  0.16
Cu1 0.750 0.750 0.750  0.03
Cu2 0.250 0.250 0.250  0.03

## Properties
As for the space group: Fm-3m, No. 225.


Run ii
Material: GdThCu2
Method: DFT, PBE
State: relaxed

Cell: 3.495 5.045 5.045 Å, 90.00 90.00 90.00°
Site moments in Bohr magnetons follow the coordinates.
Fractional positions:
Th1 0.500 0.500 0.500  0.14
Cu1 0.000 0.500 0.000  0.03
Gd1 0.500 0.000 0.000  7.17
Cu2 0.000 0.000 0.500  0.03

## Properties
As for the space group: P4/mmm, No. 123.


Stability order, top to bottom: run ii, run i


Run i
Material: GdTh2Cu
Method: DFT, PBE
State: relaxed

Cell: 5.327 5.327 5.324 Å, 59.98 59.98 60.00°
Site moments in Bohr magnetons follow the coordinates.
Fractional positions:
Th1 0.250 0.250 0.250  -0.14
Th2 0.750 0.750 0.750  -0.14
Gd1 0.500 0.500 0.500  -7.37
Cu1 0.000 0.000 0.000  -0.03

## Properties
As for the space group: Fm-3m, No. 225.


Run ii
Material: GdTh2Cu
Method: DFT, PBE
State: relaxed

Cell: 3.592 3.592 8.626 Å, 90.00 90.00 90.00°
Site moments in Bohr magnetons follow the coordinates.
Fractional positions:
Gd1 0.500 0.500 0.500  7.12
Th1 0.000 0.000 0.796  -0.03
Cu1 0.500 0.500 0.000  -0.01
Th2 0.000 0.000 0.204  -0.03

## Properties
As for the space group: P4/mmm, No. 123.


Stability order, top to bottom: run ii, run i


Run i
Material: Gd2ThCu
Method: DFT, PBE
State: relaxed

Cell: 3.542 3.542 8.553 Å, 90.00 90.00 90.00°
Site moments in Bohr magnetons follow the coordinates.
Fractional positions:
Gd1 0.000 0.000 0.797  7.11
Gd2 0.000 0.000 0.203  7.11
Cu1 0.500 0.500 0.000  0.02
Th1 0.500 0.500 0.500  0.01

## Properties
As for the space group: P4/mmm, No. 123.


Run ii
Material: Gd2ThCu
Method: DFT, PBE
State: relaxed

Cell: 3.509 3.509 11.304 Å, 81.07 81.07 60.00°
Site moments in Bohr magnetons follow the coordinates.
Fractional positions:
Gd1 0.917 0.917 0.250  -7.10
Th1 0.500 0.500 0.500  0.09
Cu1 0.000 0.000 0.000  -0.01
Gd2 0.083 0.083 0.750  -7.10

## Properties
As for the space group: R-3m, No. 166.


Stability order, top to bottom: run i, run ii


Run i
Material: GdTl2Cu
Method: DFT, PBE
State: relaxed

Cell: 3.508 3.508 7.561 Å, 90.00 90.00 90.00°
Site moments in Bohr magnetons follow the coordinates.
Fractional positions:
Tl1 0.000 0.000 0.209  0.00
Tl2 0.000 0.000 0.791  0.00
Gd1 0.500 0.500 0.500  7.30
Cu1 0.500 0.500 0.000  0.01

## Properties
As for the space group: P4/mmm, No. 123.


Run ii
Material: GdTl2Cu
Method: DFT, PBE
State: relaxed

Cell: 3.500 3.500 10.577 Å, 80.48 80.48 60.00°
Site moments in Bohr magnetons follow the coordinates.
Fractional positions:
Cu1 0.500 0.500 0.500  0.01
Tl1 0.103 0.103 0.692  0.02
Tl2 0.897 0.897 0.308  0.02
Gd1 0.000 0.000 0.000  7.29

## Properties
As for the space group: R-3m, No. 166.


Run iii
Material: GdTl2Cu
Method: DFT, PBE
State: relaxed

Cell: 4.604 4.560 4.560 Å, 90.00 90.00 90.00°
Site moments in Bohr magnetons follow the coordinates.
Fractional positions:
Gd1 0.500 0.500 0.500  7.15
Tl1 0.000 0.500 0.000  0.01
Tl2 0.000 0.000 0.500  0.01
Cu1 0.500 0.000 0.000  0.03

## Properties
As for the space group: P4/mmm, No. 123.


Stability order, top to bottom: run iii, run i, run ii


Run i
Material: GdTmCu
Method: DFT, PBE
State: relaxed

Cell: 3.480 3.480 6.572 Å, 105.35 105.35 90.00°
Site moments in Bohr magnetons follow the coordinates.
Fractional positions:
Cu1 0.675 0.675 0.349  0.04
Gd1 0.023 0.023 0.046  7.28
Tm1 0.302 0.302 0.605  0.18

## Properties
As for the space group: I4mm, No. 107.


Run ii
Material: GdTmCu
Method: DFT, PBE
State: relaxed

Cell: 4.834 4.834 4.834 Å, 60.00 60.00 60.00°
Site moments in Bohr magnetons follow the coordinates.
Fractional positions:
Gd1 0.000 0.000 0.000  7.10
Cu1 0.250 0.250 0.250  0.02
Tm1 0.500 0.500 0.500  0.12

## Properties
As for the space group: F-43m, No. 216.


Stability order, top to bottom: run i, run ii


Run i
Material: Gd2TmCu
Method: DFT, PBE
State: relaxed

Cell: 3.434 3.434 11.396 Å, 81.33 81.33 60.00°
Site moments in Bohr magnetons follow the coordinates.
Fractional positions:
Gd1 0.083 0.083 0.752  7.22
Cu1 0.000 0.000 0.000  0.03
Tm1 0.500 0.500 0.500  -0.03
Gd2 0.917 0.917 0.248  7.22

## Properties
As for the space group: R-3m, No. 166.


Run ii
Material: Gd2TmCu
Method: DFT, PBE
State: relaxed

Cell: 3.524 3.524 8.572 Å, 90.00 90.00 90.00°
Site moments in Bohr magnetons follow the coordinates.
Fractional positions:
Tm1 0.500 0.500 0.500  0.12
Gd1 0.000 0.000 0.203  7.12
Gd2 0.000 0.000 0.797  7.12
Cu1 0.500 0.500 0.000  0.03

## Properties
As for the space group: P4/mmm, No. 123.


Stability order, top to bottom: run ii, run i